Compound: Cr2InIr
Source: Alexandria via LeMat-Bulk
Functional: PBE
Structure: optimized geometry

```
Cr2InIr
1.0
-2.023 4.297 -1.012
-3.330 2.309 -2.675
-3.734 0.035 2.891
Cr Ir In
2 1 1
Direct
0.010 0.010 0.921
0.490 0.490 0.579
0.750 0.750 0.750
0.250 0.250 0.250
```

The value obtained for the spin magnetization is 0.000 μB/cell. The calculation puts the density of states at the Fermi level at 3.5 states/eV per cell. The symmetry is C2/m. The calculated formation energy comes out at 0.241 eV per atom.